Entry 1:
First-principles (GGA-PBEsol) data for crystalline YBeSb2 at its relaxed geometry, as listed in Alexandria via LeMat-Bulk.

Results
ρ: 6.423 g/cm³
volume: 88.3 Å³ per cell
uncorrected formation energy: -0.1965 eV per atom

Unit cell a=5.8980 b=5.8980 c=5.8980 alpha=139.06 beta=138.45 gamma=59.75
Atoms (fractional coordinates):
Y1 0.0000 0.0000 0.0000
Be1 0.2543 0.7543 0.5000
Sb1 0.4967 0.4967 0.0000
Sb2 0.7478 0.2478 0.5000



Entry 2:
First-principles (GGA-PBEsol) data for crystalline Ta3MnZn at its relaxed geometry, as listed in Alexandria via LeMat-Bulk.

Results
formation enthalpy at 0 K: 1.58 eV per atom
ρ: 11.116 g/cm³
volume: 99.1 Å³ per cell

Unit cell a=4.6271 b=4.6271 c=4.6271 alpha=90.00 beta=90.00 gamma=90.00
Atoms (fractional coordinates):
Ta1 0.0000 0.0000 0.5000
Ta2 0.0000 0.5000 0.0000
Ta3 0.5000 0.0000 0.0000
Mn1 0.5000 0.5000 0.5000
Zn1 0.0000 0.0000 0.0000



Entry 3:
First-principles (GGA-PBEsol) data for crystalline ScSiTc at its relaxed geometry, as listed in Alexandria via LeMat-Bulk.

Results
energy above the lowest structure with this stoichiometry: 558 meV/atom
ρ: 5.390 g/cm³
volume: 52.7 Å³ per cell
uncorrected formation energy: -0.0821 eV per atom

Unit cell a=4.2080 b=4.2080 c=4.2080 alpha=60.00 beta=60.00 gamma=60.00
Atoms (fractional coordinates):
Sc1 0.0000 0.0000 0.0000
Si1 0.5000 0.5000 0.5000
Tc1 0.7500 0.7500 0.7500



Entry 4:
First-principles (GGA-PBEsol) data for crystalline Li2FeCSO7 at its relaxed geometry, as listed in Alexandria via LeMat-Bulk.

Results
ρ: 2.748 g/cm³
volume: 272.9 Å³ per cell
uncorrected formation energy: -1.5413 eV per atom

Unit cell a=4.8689 b=6.3324 c=8.9163 alpha=90.00 beta=96.94 gamma=90.00
Atoms (fractional coordinates):
Li1 0.2136 0.0169 0.3209
Li2 0.2136 0.4831 0.3209
Li3 0.7864 0.5169 0.6791
Li4 0.7864 0.9831 0.6791
Fe1 0.2333 0.7500 0.8538
Fe2 0.7667 0.2500 0.1462
C1 0.2744 0.7500 0.5699
C2 0.7256 0.2500 0.4301
S1 0.2475 0.2500 0.9072
S2 0.7525 0.7500 0.0928
O1 0.0304 0.7500 0.6153
O2 0.1461 0.0627 0.8161
O3 0.1456 0.2500 0.0563
O4 0.1461 0.4373 0.8161
O5 0.3100 0.7500 0.4308
O6 0.4443 0.7500 0.0696
O7 0.4847 0.7500 0.6777
O8 0.5153 0.2500 0.3223
O9 0.5557 0.2500 0.9304
O10 0.6900 0.2500 0.5692
O11 0.8539 0.5627 0.1839
O12 0.8544 0.7500 0.9437
O13 0.8539 0.9373 0.1839
O14 0.9696 0.2500 0.3847



Entry 5:
First-principles (GGA-PBEsol) data for crystalline MgNbO3 at its relaxed geometry, as listed in Alexandria via LeMat-Bulk.

Results
ρ: 5.524 g/cm³
volume: 49.7 Å³ per cell
uncorrected formation energy: -1.3106 eV per atom

Unit cell a=3.6757 b=3.6757 c=3.6757 alpha=90.00 beta=90.00 gamma=90.00
Atoms (fractional coordinates):
Mg1 0.0000 0.0000 0.0000
Nb1 0.5000 0.5000 0.5000
O1 0.0000 0.0000 0.5000
O2 0.0000 0.5000 0.0000
O3 0.5000 0.0000 0.0000



Entry 6:
First-principles (GGA-PBEsol) data for crystalline Cs2Nb6PbCl18 at its relaxed geometry, as listed in Alexandria via LeMat-Bulk.

Results
ρ: 4.094 g/cm³
volume: 676.9 Å³ per cell
uncorrected formation energy: -1.4110 eV per atom

Unit cell a=10.2774 b=10.2774 c=10.2774 alpha=54.92 beta=54.92 gamma=54.92
Atoms (fractional coordinates):
Cs1 0.2235 0.2235 0.2235
Cs2 0.7765 0.7765 0.7765
Nb1 0.0811 0.8526 0.2028
Nb2 0.1474 0.7972 0.9189
Nb3 0.2028 0.0811 0.8526
Nb4 0.7972 0.9189 0.1474
Nb5 0.8526 0.2028 0.0811
Nb6 0.9189 0.1474 0.7972
Pb1 0.5000 0.5000 0.5000
Cl1 0.0659 0.3349 0.9216
Cl2 0.0784 0.9341 0.6651
Cl3 0.1414 0.2709 0.5896
Cl4 0.1758 0.6716 0.4627
Cl5 0.2709 0.5896 0.1414
Cl6 0.3284 0.5373 0.8242
Cl7 0.3349 0.9216 0.0659
Cl8 0.4104 0.8586 0.7291
Cl9 0.4627 0.1758 0.6716
Cl10 0.5373 0.8242 0.3284
Cl11 0.5896 0.1414 0.2709
Cl12 0.6651 0.0784 0.9341
Cl13 0.6716 0.4627 0.1758
Cl14 0.7291 0.4104 0.8586
Cl15 0.8242 0.3284 0.5373
Cl16 0.8586 0.7291 0.4104
Cl17 0.9216 0.0659 0.3349
Cl18 0.9341 0.6651 0.0784